1.
This record from the Alexandria database describes ErHfFeOs after structural relaxation. The functional is PBE.

Unit cell a=4.6194 b=4.6194 c=4.6194 alpha=60.00 beta=60.00 gamma=60.00
Sites, in units of the cell vectors:
1 Er 0.0000 0.0000 0.0000
2 Fe 0.7500 0.7500 0.7500
3 Os 0.2500 0.2500 0.2500
4 Hf 0.5000 0.5000 0.5000

Values from the calculation:
Total DFT energy (no corrections) (eV/f.u.): -35.15
ΔH_f (0 K) (eV/atom): -0.24
Space-group type: F-43m
Density of states at the Fermi level (states/eV per atom): 0.801

***

2.
This record from the Alexandria database describes ErHfFePd after structural relaxation. The functional is PBE.

Unit cell a=4.6753 b=4.6753 c=4.6753 alpha=60.00 beta=60.00 gamma=60.00
Sites, in units of the cell vectors:
1 Fe 0.5000 0.5000 0.5000
2 Er 0.2500 0.2500 0.2500
3 Pd 0.0000 0.0000 0.0000
4 Hf 0.7500 0.7500 0.7500

Values from the calculation:
Total DFT energy (no corrections) (eV/f.u.): -29.62
ΔH_f (0 K) (eV/atom): -0.36
Space-group type: F-43m
Density of states at the Fermi level (states/eV per atom): 0.515

***

3.
This record from the Alexandria database describes ErHfFePt after structural relaxation. The functional is PBE.

Unit cell a=4.6998 b=4.6998 c=4.6998 alpha=60.00 beta=60.00 gamma=60.00
Sites, in units of the cell vectors:
1 Fe 0.2500 0.2500 0.2500
2 Hf 0.5000 0.5000 0.5000
3 Pt 0.7500 0.7500 0.7500
4 Er 0.0000 0.0000 0.0000

Values from the calculation:
Total DFT energy (no corrections) (eV/f.u.): -31.25
ΔH_f (0 K) (eV/atom): -0.56
Space-group type: F-43m
Density of states at the Fermi level (states/eV per atom): 0.658

***

4.
This record from the Alexandria database describes ErHfFeRh after structural relaxation. The functional is PBE.

Unit cell a=4.6252 b=4.6252 c=4.6252 alpha=60.00 beta=60.00 gamma=60.00
Sites, in units of the cell vectors:
1 Hf 0.7500 0.7500 0.7500
2 Er 0.2500 0.2500 0.2500
3 Rh 0.5000 0.5000 0.5000
4 Fe 0.0000 0.0000 0.0000

Values from the calculation:
Total DFT energy (no corrections) (eV/f.u.): -32.17
ΔH_f (0 K) (eV/atom): -0.46
Space-group type: F-43m
Density of states at the Fermi level (states/eV per atom): 0.457

***

5.
This record from the Alexandria database describes ErHfFeRu after structural relaxation. The functional is PBE.

Unit cell a=4.6082 b=4.6082 c=4.6082 alpha=60.00 beta=60.00 gamma=60.00
Sites, in units of the cell vectors:
1 Fe 0.0000 0.0000 0.0000
2 Er 0.7500 0.7500 0.7500
3 Ru 0.5000 0.5000 0.5000
4 Hf 0.2500 0.2500 0.2500

Values from the calculation:
Total DFT energy (no corrections) (eV/f.u.): -33.49
ΔH_f (0 K) (eV/atom): -0.31
Space-group type: F-43m
Density of states at the Fermi level (states/eV per atom): 0.975

***

6.
This record from the Alexandria database describes ErHfZnFe after structural relaxation. The functional is PBE.

Unit cell a=4.6845 b=4.6845 c=4.6845 alpha=60.00 beta=60.00 gamma=60.00
Sites, in units of the cell vectors:
1 Er 0.0000 0.0000 0.0000
2 Zn 0.7500 0.7500 0.7500
3 Hf 0.5000 0.5000 0.5000
4 Fe 0.2500 0.2500 0.2500

Values from the calculation:
Total DFT energy (no corrections) (eV/f.u.): -24.67
ΔH_f (0 K) (eV/atom): -0.10
Space-group type: F-43m
Density of states at the Fermi level (states/eV per atom): 0.433

***

7.
This record from the Alexandria database describes Er8FeHg2 after structural relaxation. The functional is PBE.

Unit cell a=5.2549 b=6.7734 c=9.0067 alpha=108.54 beta=106.96 gamma=90.00
Sites, in units of the cell vectors:
1 Fe 0.5000 0.0000 0.0000
2 Er 0.1983 0.2911 0.3965
3 Er 0.0217 0.7895 0.0434
4 Er 0.8017 0.7089 0.6035
5 Er 0.3503 0.0487 0.7005
6 Er 0.5897 0.4169 0.1794
7 Er 0.4103 0.5831 0.8206
8 Er 0.6497 0.9513 0.2995
9 Er 0.9783 0.2105 0.9566
10 Hg 0.8162 0.2882 0.6325
11 Hg 0.1838 0.7118 0.3675

Values from the calculation:
Total DFT energy (no corrections) (eV/f.u.): -47.43
ΔH_f (0 K) (eV/atom): -0.17
Space-group type: C2/m
Density of states at the Fermi level (states/eV per atom): 0.740

***

8.
This record from the Alexandria database describes Er2FeHg after structural relaxation. The functional is PBE.

Unit cell a=3.4254 b=3.4254 c=7.4652 alpha=90.00 beta=90.00 gamma=90.00
Sites, in units of the cell vectors:
1 Er 0.0000 0.0000 0.7833
2 Er 0.0000 0.0000 0.2167
3 Hg 0.5000 0.5000 0.5000
4 Fe 0.5000 0.5000 0.0000

Values from the calculation:
Total DFT energy (no corrections) (eV/f.u.): -18.74
ΔH_f (0 K) (eV/atom): -0.21
Energy above the lowest structure with this stoichiometry (meV per atom): 0
Space-group type: P4/mmm
Density of states at the Fermi level (states/eV per atom): 1.169

***

9.
This record from the Alexandria database describes Er12Fe6Hg after structural relaxation. The functional is PBE.

Unit cell a=8.2896 b=8.2896 c=8.2896 alpha=109.47 beta=109.47 gamma=109.47
Sites, in units of the cell vectors:
1 Fe 0.5000 0.8891 0.3891
2 Fe 0.6109 0.5000 0.1109
3 Fe 0.1109 0.6109 0.5000
4 Fe 0.5000 0.1109 0.6109
5 Fe 0.8891 0.3891 0.5000
6 Fe 0.3891 0.5000 0.8891
7 Er 0.8053 0.7026 0.5078
8 Er 0.7026 0.5078 0.8053
9 Er 0.1027 0.8053 0.2974
10 Er 0.4922 0.1947 0.2974
11 Er 0.8053 0.2974 0.1027
12 Er 0.7026 0.8973 0.1947
13 Er 0.2974 0.1027 0.8053
14 Er 0.2974 0.4922 0.1947
15 Er 0.1947 0.7026 0.8973
16 Er 0.5078 0.8053 0.7026
17 Er 0.8973 0.1947 0.7026
18 Er 0.1947 0.2974 0.4922
19 Hg 0.0000 0.0000 0.0000

Values from the calculation:
Total DFT energy (no corrections) (eV/f.u.): -107.51
ΔH_f (0 K) (eV/atom): -0.09
Space-group type: Im-3
Density of states at the Fermi level (states/eV per atom): 1.084

***

10.
This record from the Alexandria database describes Er6FeHg after structural relaxation. The functional is PBE.

Unit cell a=7.0280 b=6.6475 c=6.2653 alpha=57.96 beta=82.19 gamma=75.15
Sites, in units of the cell vectors:
1 Er 0.7186 0.4725 0.6463
2 Er 0.3090 0.2249 0.0000
3 Er 0.2814 0.5275 0.3537
4 Er 0.7186 0.1188 0.3537
5 Er 0.6910 0.7751 0.0000
6 Er 0.2814 0.8812 0.6463
7 Fe 0.5000 0.5000 0.0000
8 Hg 0.0000 0.0000 0.0000

Values from the calculation:
Total DFT energy (no corrections) (eV/f.u.): -35.83
ΔH_f (0 K) (eV/atom): 0.04
Space-group type: C2/m
Density of states at the Fermi level (states/eV per atom): 1.125

***

11.
This record from the Alexandria database describes Er4FeHg after structural relaxation. The functional is PBE.

Unit cell a=6.0355 b=9.0230 c=7.5046 alpha=115.66 beta=98.67 gamma=114.72
Sites, in units of the cell vectors:
1 Fe 0.2485 0.9985 0.9969
2 Fe 0.7515 0.0015 0.0031
3 Er 0.1049 0.2021 0.8402
4 Er 0.6007 0.0604 0.3289
5 Er 0.8951 0.7979 0.1598
6 Er 0.2282 0.2685 0.3289
7 Er 0.3993 0.9396 0.6711
8 Er 0.7647 0.3619 0.1598
9 Er 0.7718 0.7315 0.6711
10 Er 0.2353 0.6381 0.8402
11 Hg 0.3785 0.6285 0.2569
12 Hg 0.6215 0.3715 0.7431

Values from the calculation:
Total DFT energy (no corrections) (eV/f.u.): -28.27
ΔH_f (0 K) (eV/atom): -0.21
Space-group type: C2/c
Density of states at the Fermi level (states/eV per atom): 1.002

***

12.
This record from the Alexandria database describes Er5Fe2Hg after structural relaxation. The functional is PBE.

Unit cell a=7.3447 b=7.3447 c=8.7636 alpha=114.77 beta=114.77 gamma=90.00
Sites, in units of the cell vectors:
1 Er 0.8093 0.9605 0.2698
2 Er 0.4605 0.3093 0.2698
3 Er 0.6907 0.1907 0.7302
4 Er 0.9605 0.4605 0.2698
5 Er 0.5000 0.5000 0.0000
6 Er 0.3093 0.8093 0.2698
7 Er 0.0395 0.5395 0.7302
8 Er 0.0000 0.0000 0.0000
9 Er 0.1907 0.0395 0.7302
10 Er 0.5395 0.6907 0.7302
11 Fe 0.3921 0.8921 0.0000
12 Fe 0.6079 0.1079 0.0000
13 Fe 0.8921 0.6079 0.0000
14 Fe 0.1079 0.3921 0.0000
15 Hg 0.2500 0.2500 0.5000
16 Hg 0.7500 0.7500 0.5000

Values from the calculation:
Total DFT energy (no corrections) (eV/f.u.): -41.35
ΔH_f (0 K) (eV/atom): -0.16
Space-group type: I4/mcm
Density of states at the Fermi level (states/eV per atom): 1.040